# 1
A plane-wave DFT calculation with PBE-GGA was carried out for an optimized crystal structure of RbScTc2Ni.

Summary:
Its total energy is -21.605 eV per cell. For the magnetization, the calculation gives 3.294 μB/cell. Its calculated volume is 105 Å³ per cell. The formation energy is 2.44 eV per atom.

a b c (Å): 4.814 4.814 4.522
angles (deg): 90.00 90.00 90.00
Atoms (fractional coordinates):
Rb1 0.000 0.000 0.000
Sc1 0.500 0.500 0.500
Tc1 0.000 0.500 0.000
Tc2 0.500 0.000 0.000
Ni1 0.000 0.000 0.500



# 2
A plane-wave DFT calculation with PBE-GGA was carried out for an optimized crystal structure of Rb2ZrScNi.

Summary:
Its total energy is -16.772 eV per cell. For the magnetization, the calculation gives 2.278 μB/cell. Its calculated volume is 192 Å³ per cell. The formation energy is 1.16 eV per atom.

a b c (Å): 6.239 6.239 4.929
angles (deg): 90.00 90.00 90.00
Atoms (fractional coordinates):
Rb1 0.000 0.500 0.000
Rb2 0.500 0.000 0.000
Zr1 0.000 0.000 0.500
Sc1 0.500 0.500 0.500
Ni1 0.000 0.000 0.000



# 3
A plane-wave DFT calculation with PBE-GGA was carried out for an optimized crystal structure of RbNiSe2.

Summary:
Its total energy is -12.473 eV per cell. The raw formation energy comes out at 1.24 eV/f.u. For the magnetization, the calculation gives 1.997 μB/cell. Its calculated volume is 93 Å³ per cell.

a b c (Å): 5.092 5.092 5.092
angles (deg): 60.00 60.00 60.00
Atoms (fractional coordinates):
Rb1 0.000 0.000 0.000
Ni1 0.500 0.500 0.500
Se1 0.250 0.250 0.250
Se2 0.750 0.750 0.750



# 4
A plane-wave DFT calculation with PBE-GGA was carried out for an optimized crystal structure of RbNi2Se2.

Summary:
Its total energy is -43.653 eV per cell. The raw formation energy comes out at -2.33 eV/f.u. For the magnetization, the calculation gives 0.009 μB/cell. Its calculated volume is 217 Å³ per cell.

a b c (Å): 7.864 6.627 6.527
angles (deg): 73.42 53.87 52.70
Atoms (fractional coordinates):
Rb1 0.125 0.125 0.125
Rb2 0.875 0.875 0.875
Ni1 0.256 0.256 0.494
Ni2 0.494 0.494 0.256
Ni3 0.506 0.506 0.744
Ni4 0.744 0.744 0.506
Se1 0.198 0.552 0.198
Se2 0.448 0.802 0.448
Se3 0.552 0.198 0.552
Se4 0.802 0.448 0.802



# 5
A plane-wave DFT calculation with PBE-GGA was carried out for an optimized crystal structure of RbNi2Se.

Summary:
Its total energy is -33.097 eV per cell. The raw formation energy comes out at -0.53 eV/f.u. The value obtained for the excess energy over the best structure of this formula in the dataset is 0 kJ/mol of formula units. For the magnetization, the calculation gives 0.000 μB/cell. Its calculated volume is 197 Å³ per cell.

a b c (Å): 8.311 8.311 8.311
angles (deg): 144.05 144.05 51.75
Atoms (fractional coordinates):
Rb1 0.375 0.625 0.750
Rb2 0.625 0.375 0.250
Ni1 0.000 0.000 0.000
Ni2 0.000 0.000 0.500
Ni3 0.000 0.500 0.000
Ni4 0.500 0.000 0.500
Se1 0.125 0.875 0.250
Se2 0.875 0.125 0.750



# 6
A plane-wave DFT calculation with PBE-GGA was carried out for an optimized crystal structure of Rb2Ni3Se4.

Summary:
Its total energy is -77.889 eV per cell. The raw formation energy comes out at -5.73 eV/f.u. For the magnetization, the calculation gives 0.000 μB/cell. Its calculated volume is 466 Å³ per cell.

a b c (Å): 15.232 14.588 6.156
angles (deg): 84.03 72.28 23.70
Atoms (fractional coordinates):
Rb1 0.050 0.050 0.200
Rb2 0.200 0.200 0.050
Rb3 0.800 0.800 0.950
Rb4 0.950 0.950 0.800
Ni1 0.126 0.126 0.624
Ni2 0.375 0.375 0.375
Ni3 0.376 0.376 0.874
Ni4 0.624 0.624 0.126
Ni5 0.625 0.625 0.625
Ni6 0.874 0.874 0.376
Se1 0.158 0.484 0.259
Se2 0.259 0.598 0.158
Se3 0.402 0.741 0.516
Se4 0.484 0.158 0.598
Se5 0.516 0.842 0.402
Se6 0.598 0.259 0.484
Se7 0.741 0.402 0.842
Se8 0.842 0.516 0.741



# 7
A plane-wave DFT calculation with PBE-GGA was carried out for an optimized crystal structure of RbNiSe2.

Summary:
Its total energy is -64.164 eV per cell. The raw formation energy comes out at -2.32 eV/f.u. For the magnetization, the calculation gives 0.000 μB/cell. Its calculated volume is 421 Å³ per cell.

a b c (Å): 7.075 9.434 6.313
angles (deg): 90.00 90.00 90.00
Atoms (fractional coordinates):
Rb1 0.250 0.166 0.250
Rb2 0.250 0.834 0.750
Rb3 0.750 0.166 0.250
Rb4 0.750 0.834 0.750
Ni1 0.250 0.335 0.750
Ni2 0.250 0.665 0.250
Ni3 0.750 0.335 0.750
Ni4 0.750 0.665 0.250
Se1 0.000 0.171 0.739
Se2 0.000 0.494 0.705
Se3 0.000 0.506 0.295
Se4 0.000 0.829 0.261
Se5 0.500 0.171 0.761
Se6 0.500 0.494 0.795
Se7 0.500 0.506 0.205
Se8 0.500 0.829 0.239



# 8
A plane-wave DFT calculation with PBE-GGA was carried out for an optimized crystal structure of RbNi2Se2.

Summary:
Its total energy is -21.912 eV per cell. The raw formation energy comes out at -2.41 eV/f.u. For the magnetization, the calculation gives 0.561 μB/cell. Its calculated volume is 106 Å³ per cell.

a b c (Å): 3.795 3.795 7.386
angles (deg): 90.00 90.00 90.00
Atoms (fractional coordinates):
Rb1 0.000 0.000 0.000
Ni1 0.000 0.500 0.500
Ni2 0.500 0.000 0.500
Se1 0.500 0.500 0.296
Se2 0.500 0.500 0.704